(1)
Density functional theory data (PBE) for an optimized crystal structure of Pu2MgSi6.

Structure (POSCAR):
```
Pu2MgSi6
1.0
7.028 0.000 0.000
-3.514 6.087 0.000
0.000 0.000 3.844
Pu Mg Si
2 1 6
direct
0.333 0.667 0.000
0.667 0.333 0.000
0.000 0.000 0.000
0.000 0.334 0.500
0.000 0.666 0.500
0.334 0.000 0.500
0.334 0.334 0.500
0.666 0.000 0.500
0.666 0.666 0.500
```

Output
Crystal system: hexagonal
Total DFT energy (no corrections): -64.83 eV for the cell shown
Calculated density: 6.9 g cm⁻³
Space group: No. 191
DOS at the Fermi energy: 18.89 states/eV/f.u.

---

(2)
Density functional theory data (PBE) for an optimized crystal structure of Nd6Te2AuSe3.

Structure (POSCAR):
```
Nd6Te2AuSe3
1.0
3.766 -6.507 0.000
3.766 6.507 0.000
-2.509 0.000 7.070
Nd Te Au Se
6 2 1 3
direct
0.086 0.411 0.762
0.234 0.234 0.232
0.411 0.086 0.762
0.589 0.914 0.238
0.766 0.766 0.768
0.914 0.589 0.238
0.335 0.665 0.500
0.665 0.335 0.500
0.000 0.000 0.500
0.173 0.827 0.000
0.500 0.500 0.000
0.827 0.173 0.000
```

Output
Crystal system: monoclinic
Total DFT energy (no corrections): -66.97 eV for the cell shown
Calculated density: 7.4 g cm⁻³
Space group: No. 12
DOS at the Fermi energy: 5.58 states/eV/f.u.

---

(3)
Density functional theory data (PBE) for an optimized crystal structure of Hg2Pb5.

Structure (POSCAR):
```
Hg2Pb5
1.0
-1.791 1.791 16.309
1.791 -1.791 16.309
1.791 1.791 -16.309
Hg Pb
2 5
direct
0.220 0.220 0.000
0.780 0.780 0.000
0.077 0.077 0.000
0.350 0.350 0.000
0.500 0.500 0.000
0.650 0.650 0.000
0.923 0.923 0.000
```

Output
Crystal system: tetragonal
Formation energy: 17 meV/atom
Calculated density: 11.4 g cm⁻³
Space group: No. 139
DOS at the Fermi energy: 4.69 states/eV/f.u.

---

(4)
Density functional theory data (PBE) for an optimized crystal structure of PaIN.

Structure (POSCAR):
```
PaIN
1.0
-1.682 1.682 5.811
1.682 -1.682 5.811
1.682 1.682 -5.811
Pa I N
1 1 1
direct
0.000 0.000 0.000
0.279 0.279 0.000
0.537 0.537 0.000
```

Output
Crystal system: tetragonal
Total DFT energy (no corrections): -21.76 eV for the cell shown
Calculated density: 9.4 g cm⁻³
Space group: No. 107
DOS at the Fermi energy: 3.09 states/eV/f.u.